LiCeDyCo (PBE, relaxed); space group = No. 216
1.0
6.905 0.000 0.000
0.000 6.905 0.000
0.000 0.000 6.905
Li Ce Dy Co
4 4 4 4
direct
0.000 0.000 0.000 Li
0.000 0.500 0.500 Li
0.500 0.000 0.500 Li
0.500 0.500 0.000 Li
0.250 0.250 0.250 Ce
0.250 0.750 0.750 Ce
0.750 0.250 0.750 Ce
0.750 0.750 0.250 Ce
0.250 0.250 0.750 Dy
0.250 0.750 0.250 Dy
0.750 0.250 0.250 Dy
0.750 0.750 0.750 Dy
0.000 0.000 0.500 Co
0.000 0.500 0.000 Co
0.500 0.000 0.000 Co
0.500 0.500 0.500 Co

CaPaIrPt (PBE, relaxed); energy above the lowest structure with this stoichiometry = 139 meV per atom; space group = No. 216
1.0
6.940 0.000 0.000
0.000 6.940 0.000
0.000 0.000 6.940
Ca Pa Ir Pt
4 4 4 4
direct
0.000 0.000 0.000 Ca
0.000 0.500 0.500 Ca
0.500 0.000 0.500 Ca
0.500 0.500 0.000 Ca
0.000 0.000 0.500 Pa
0.000 0.500 0.000 Pa
0.500 0.000 0.000 Pa
0.500 0.500 0.500 Pa
0.250 0.250 0.750 Ir
0.250 0.750 0.250 Ir
0.750 0.250 0.250 Ir
0.750 0.750 0.750 Ir
0.250 0.250 0.250 Pt
0.250 0.750 0.750 Pt
0.750 0.250 0.750 Pt
0.750 0.750 0.250 Pt

Zn2FeTc (PBE, relaxed); energy above the lowest structure with this stoichiometry = 0 meV per atom; space group = No. 99
1.0
2.760 0.000 0.000
0.000 2.760 0.000
0.000 0.000 7.020
Zn Fe Tc
2 1 1
direct
0.000 0.000 0.000 Zn
0.500 0.500 0.272 Zn
0.000 0.000 0.509 Fe
0.500 0.500 0.727 Tc

Taking the records one at a time from the top gives energy relative to the elements values of 23, -679, 7 meV/atom.
Taking the records one at a time from the top gives total DFT energy (no corrections) values of -4.866, -7.279, -5.337 eV/atom.